The following is a PBE+U calculation of a geometry-optimized Cs3MnO2 structure, from the Alexandria database.

Cell and atoms, written as extended XYZ:
```
12
Lattice="7.1386 -0.2653 0.0000 -0.7075 7.1084 0.0000 0.0000 0.0000 7.2361" Properties=species:S:1:pos:R:3 pbc="T T T"
Cs 5.0019 5.3223 5.4271
O 0.0000 0.0000 3.6181
O 2.2309 2.3738 5.4271
Cs 1.4293 1.5209 1.8090
O 0.0000 0.0000 0.0000
O 4.2003 4.4693 1.8090
Cs 1.7088 4.8376 0.0000
Cs 1.7088 4.8376 3.6181
Cs 4.7224 2.0055 3.6181
Cs 4.7224 2.0055 0.0000
Mn 5.5431 5.8982 1.8090
Mn 0.8881 0.9450 5.4271
```

As for the final energy: -4.173 eV/atom. For the density, the calculation gives 4.41 g/cm³. Its space-group type is Cmcm (63).